No. 1
Here is a relaxed structure of KLaCd2 from the Alexandria database. Energies are from GGA-PBEsol.

Output
- uncorrected energy (eV/f.u.) = -9.144
- space-group type = No. 25
- magnetic moment (Bohr magnetons per cell) = 0.00
- density of states at the Fermi level (states/eV per cell) = 3.328

abc: 3.630 5.708 5.778
angles: 90.00 90.00 90.00
Positions (direct):
La 0.500 0.500 0.152
Cd 0.000 0.000 0.083
K 0.500 0.000 0.596
Cd 0.000 0.500 0.669

=====

No. 2
Here is a relaxed structure of KLaCd3 from the Alexandria database. Energies are from GGA-PBEsol.

Output
- uncorrected energy (eV/f.u.) = -7.728
- space-group type = No. 221
- magnetic moment (Bohr magnetons per cell) = 0.00
- density of states at the Fermi level (states/eV per cell) = 5.581

abc: 6.052 6.052 6.052
angles: 90.00 90.00 90.00
Positions (direct):
Cd 0.000 0.500 0.000
K 0.500 0.500 0.500
La 0.000 0.000 0.000
Cd 0.500 0.000 0.000
Cd 0.000 0.000 0.500

=====

No. 3
Here is a relaxed structure of K2LaCd from the Alexandria database. Energies are from GGA-PBEsol.

Output
- uncorrected energy (eV/f.u.) = -7.631
- space-group type = No. 65
- magnetic moment (Bohr magnetons per cell) = 0.00
- density of states at the Fermi level (states/eV per cell) = 3.464

abc: 3.627 3.627 12.875
angles: 90.00 90.00 112.30
Positions (direct):
K 0.000 0.000 0.778
K 0.000 0.000 0.222
Cd 0.500 0.500 0.000
La 0.500 0.500 0.500

=====

No. 4
Here is a relaxed structure of KLaCd3 from the Alexandria database. Energies are from GGA-PBEsol.

Output
- uncorrected energy (eV/f.u.) = -6.950
- space-group type = No. 221
- magnetic moment (Bohr magnetons per cell) = 0.00
- density of states at the Fermi level (states/eV per cell) = 5.776

abc: 5.479 5.479 5.479
angles: 90.00 90.00 90.00
Positions (direct):
La 0.500 0.500 0.500
Cd 0.000 0.000 0.500
K 0.000 0.000 0.000
Cd 0.500 0.000 0.000
Cd 0.000 0.500 0.000